1.
A plane-wave DFT calculation with PBE-GGA was carried out for a relaxed Y2TiAl crystal.

Formation enthalpy at 0 K: 1.4 eV per formula unit

```
Y2TiAl
1.0
8.1457 0.0000 0.0000
0.0000 8.1457 0.0000
4.0729 4.0729 3.0466
Y Ti Al
4 2 2
Direct
0.3750 0.3851 0.7500
0.8750 0.8649 0.7500
0.1351 0.6250 0.2500
0.6149 0.1250 0.2500
0.0000 0.0000 0.0000
0.7500 0.2500 0.5000
0.2500 0.7500 0.5000
0.5000 0.5000 0.0000
```

=====

2.
A plane-wave DFT calculation with PBE-GGA was carried out for a relaxed Dy2PaTeO8 crystal.

Formation energy without anion corrections: -2796 meV per atom

```
Dy2PaTeO8
1.0
-3.1878 -2.2392 -3.2247
2.4021 -4.3541 0.9133
-4.3872 -1.3187 5.2526
Te O Pa Dy
1 8 1 2
Direct
0.0000 0.0000 0.0000
0.1829 0.8167 0.7633
0.2996 0.2990 0.5000
0.7106 0.7111 0.9999
0.1827 0.8166 0.2367
0.2894 0.2889 0.0001
0.8173 0.1834 0.7633
0.8171 0.1833 0.2367
0.7004 0.7010 0.5000
0.0000 0.0000 0.5000
0.4999 0.4999 0.7558
0.5001 0.5001 0.2442
```

=====

3.
A plane-wave DFT calculation with PBE-GGA was carried out for a relaxed LiTmAlFe crystal.

Formation enthalpy at 0 K: -0.2 eV per formula unit

```
LiTmAlFe
1.0
4.4901 0.0000 0.0000
2.2451 3.8886 0.0000
2.2451 1.2962 3.6662
Fe Tm Li Al
1 1 1 1
Direct
0.2500 0.2500 0.2500
0.0000 0.0000 0.0000
0.7500 0.7500 0.7500
0.5000 0.5000 0.5000
```

=====

4.
A plane-wave DFT calculation with PBE-GGA was carried out for a relaxed Sr2GaAgPd crystal.

Formation enthalpy at 0 K: -1.5 eV per formula unit

```
Sr2GaAgPd
1.0
5.8476 0.0000 0.0000
0.0000 5.8476 0.0000
0.0000 0.0000 4.7757
Pd Sr Ga Ag
1 2 1 1
Direct
0.0000 0.0000 0.0000
0.5000 0.0000 0.0000
0.0000 0.5000 0.0000
0.0000 0.0000 0.5000
0.5000 0.5000 0.5000
```